A geometry-optimized AlGaCoSe4 structure. Source: OQMD, functional PBE-GGA.

Computed properties:
Distance to the lowest polymorph of the same formula: 0.00 eV/f.u.

Cell lengths 7.438, 7.438, 10.556 Å; angles 90.00, 90.00, 90.00 degrees
Atoms (fractional coordinates):
Al 0.244 0.244 0.375
Al 0.244 0.756 0.125
Al 0.756 0.244 0.625
Al 0.756 0.756 0.875
Ga 0.243 0.500 0.750
Ga 0.500 0.243 0.000
Ga 0.500 0.757 0.500
Ga 0.757 0.500 0.250
Co 0.000 0.249 0.000
Co 0.000 0.751 0.500
Co 0.249 0.000 0.750
Co 0.751 0.000 0.250
Se 0.019 0.234 0.768
Se 0.019 0.766 0.732
Se 0.234 0.019 0.982
Se 0.234 0.981 0.518
Se 0.236 0.477 0.999
Se 0.236 0.523 0.501
Se 0.477 0.236 0.751
Se 0.477 0.764 0.749
Se 0.523 0.236 0.249
Se 0.523 0.764 0.251
Se 0.764 0.477 0.001
Se 0.764 0.523 0.499
Se 0.766 0.019 0.018
Se 0.766 0.981 0.482
Se 0.981 0.234 0.232
Se 0.981 0.766 0.268

A geometry-optimized AlGaCoTe4 structure. Source: OQMD, functional PBE-GGA.

Computed properties:
Distance to the lowest polymorph of the same formula: 0.00 eV/f.u.

Cell lengths 8.076, 8.076, 11.414 Å; angles 90.00, 90.00, 90.00 degrees
Atoms (fractional coordinates):
Al 0.000 0.254 0.000
Al 0.000 0.746 0.500
Al 0.254 0.000 0.750
Al 0.746 0.000 0.250
Ga 0.257 0.257 0.375
Ga 0.257 0.743 0.125
Ga 0.743 0.257 0.625
Ga 0.743 0.743 0.875
Co 0.253 0.500 0.750
Co 0.500 0.253 0.000
Co 0.500 0.747 0.500
Co 0.747 0.500 0.250
Te 0.031 0.265 0.754
Te 0.031 0.735 0.746
Te 0.265 0.031 0.996
Te 0.265 0.969 0.504
Te 0.267 0.475 0.978
Te 0.267 0.525 0.522
Te 0.475 0.267 0.772
Te 0.475 0.733 0.728
Te 0.525 0.267 0.228
Te 0.525 0.733 0.272
Te 0.733 0.475 0.022
Te 0.733 0.525 0.478
Te 0.735 0.031 0.004
Te 0.735 0.969 0.496
Te 0.969 0.265 0.246
Te 0.969 0.735 0.254

A geometry-optimized AlGaCoTe4 structure. Source: OQMD, functional PBE-GGA.

Computed properties:
Distance to the lowest polymorph of the same formula: 0.41 eV/f.u.

Cell lengths 8.079, 8.079, 11.314 Å; angles 90.00, 90.00, 90.00 degrees
Atoms (fractional coordinates):
Al 0.241 0.241 0.375
Al 0.241 0.759 0.125
Al 0.759 0.241 0.625
Al 0.759 0.759 0.875
Ga 0.249 0.500 0.750
Ga 0.500 0.249 0.000
Ga 0.500 0.751 0.500
Ga 0.751 0.500 0.250
Co 0.000 0.247 0.000
Co 0.000 0.753 0.500
Co 0.247 0.000 0.750
Co 0.753 0.000 0.250
Te 0.023 0.231 0.770
Te 0.023 0.769 0.730
Te 0.231 0.023 0.980
Te 0.231 0.473 0.004
Te 0.231 0.527 0.496
Te 0.231 0.977 0.520
Te 0.473 0.231 0.746
Te 0.473 0.769 0.754
Te 0.527 0.231 0.254
Te 0.527 0.769 0.246
Te 0.769 0.023 0.020
Te 0.769 0.473 0.996
Te 0.769 0.527 0.504
Te 0.769 0.977 0.480
Te 0.977 0.231 0.230
Te 0.977 0.769 0.270

A geometry-optimized TmAl4GaCo structure. Source: OQMD, functional PBE-GGA.

Computed properties:
DFT total energy: -4.71 eV/atom

Cell lengths 4.163, 4.163, 6.839 Å; angles 90.00, 90.00, 90.00 degrees
Atoms (fractional coordinates):
Tm 0.000 0.000 0.000
Al 0.000 0.500 0.311
Al 0.000 0.500 0.689
Al 0.500 0.000 0.311
Al 0.500 0.000 0.689
Ga 0.500 0.500 0.000
Co 0.000 0.000 0.500

A geometry-optimized Gd2Al8Co structure. Source: OQMD, functional PBE-GGA.

Computed properties:
DFT total energy: -4.66 eV/atom

Cell lengths 4.231, 4.231, 11.193 Å; angles 90.00, 90.00, 90.00 degrees
Atoms (fractional coordinates):
Gd 0.000 0.000 0.194
Gd 0.000 0.000 0.806
Al 0.000 0.500 0.000
Al 0.000 0.500 0.384
Al 0.000 0.500 0.616
Al 0.500 0.000 0.000
Al 0.500 0.000 0.384
Al 0.500 0.000 0.616
Al 0.500 0.500 0.194
Al 0.500 0.500 0.806
Co 0.000 0.000 0.500

A geometry-optimized Gd4AlCo2 structure. Source: OQMD, functional PBE-GGA.

Computed properties:
DFT total energy: -4.82 eV/atom

Cell lengths 5.562, 5.562, 12.728 Å; angles 90.00, 90.00, 90.00 degrees
Atoms (fractional coordinates):
Gd 0.000 0.000 0.224
Gd 0.000 0.000 0.776
Gd 0.000 0.500 0.000
Gd 0.000 0.500 0.500
Gd 0.500 0.000 0.000
Gd 0.500 0.000 0.500
Gd 0.500 0.500 0.276
Gd 0.500 0.500 0.724
Al 0.000 0.000 0.000
Al 0.500 0.500 0.500
Co 0.000 0.000 0.415
Co 0.000 0.000 0.585
Co 0.500 0.500 0.085
Co 0.500 0.500 0.915

A geometry-optimized Gd7Al7Co6 structure. Source: OQMD, functional PBE-GGA.

Computed properties:
DFT total energy: -5.53 eV/atom

Cell lengths 13.480, 13.480, 4.137 Å; angles 90.00, 90.00, 90.00 degrees
Atoms (fractional coordinates):
Gd 0.000 0.000 0.000
Gd 0.049 0.261 0.000
Gd 0.129 0.629 0.500
Gd 0.239 0.451 0.000
Gd 0.261 0.951 0.000
Gd 0.371 0.129 0.500
Gd 0.451 0.761 0.000
Gd 0.500 0.500 0.000
Gd 0.549 0.239 0.000
Gd 0.629 0.871 0.500
Gd 0.739 0.049 0.000
Gd 0.761 0.549 0.000
Gd 0.871 0.371 0.500
Gd 0.951 0.739 0.000
Al 0.000 0.500 0.000
Al 0.093 0.862 0.500
Al 0.138 0.093 0.500
Al 0.216 0.284 0.500
Al 0.284 0.784 0.500
Al 0.362 0.593 0.500
Al 0.407 0.362 0.500
Al 0.500 0.000 0.000
Al 0.593 0.638 0.500
Al 0.638 0.407 0.500
Al 0.716 0.216 0.500
Al 0.784 0.716 0.500
Al 0.862 0.907 0.500
Al 0.907 0.138 0.500
Co 0.076 0.424 0.500
Co 0.159 0.786 0.000
Co 0.214 0.159 0.000
Co 0.286 0.659 0.000
Co 0.341 0.286 0.000
Co 0.424 0.924 0.500
Co 0.576 0.076 0.500
Co 0.659 0.714 0.000
Co 0.714 0.341 0.000
Co 0.786 0.841 0.000
Co 0.841 0.214 0.000
Co 0.924 0.576 0.500

A geometry-optimized Gd6AlCo2 structure. Source: OQMD, functional PBE-GGA.

Computed properties:
DFT total energy: -5.32 eV/atom

Cell lengths 8.352, 8.352, 8.352 Å; angles 112.08, 109.81, 106.56 degrees
Atoms (fractional coordinates):
Gd 0.039 0.237 0.802
Gd 0.182 0.283 0.465
Gd 0.182 0.717 0.899
Gd 0.325 0.013 0.688
Gd 0.325 0.637 0.312
Gd 0.435 0.237 0.198
Gd 0.565 0.763 0.802
Gd 0.675 0.363 0.688
Gd 0.675 0.987 0.312
Gd 0.818 0.283 0.101
Gd 0.818 0.717 0.535
Gd 0.961 0.763 0.198
Al 0.000 0.000 0.000
Al 0.500 0.500 0.000
Co 0.114 0.614 0.500
Co 0.327 0.000 0.327
Co 0.673 0.000 0.673
Co 0.886 0.386 0.500